First-principles (PBE) data for an optimized crystal structure of CuBiI2, as listed in Alexandria.

Structure (POSCAR):
```
CuBiI2
1.0
3.977 0.000 0.000
-1.988 3.444 0.000
0.000 0.000 28.080
Cu Bi I
3 3 6
Direct
0.000 0.000 0.000
0.333 0.667 0.667
0.667 0.333 0.333
0.000 0.000 0.500
0.333 0.667 0.167
0.667 0.333 0.833
0.000 0.000 0.390
0.000 0.000 0.610
0.333 0.667 0.057
0.333 0.667 0.276
0.667 0.333 0.724
0.667 0.333 0.943
```

Summary:
DFT total energy	-2.7655	eV per atom
ΔE_f (raw)	0.00	eV/atom
SG	R-3m
V	32.047	A^3/atom
energy relative to the lowest polymorph listed for this composition	0.0	meV per atom
spin magnetization	0.00	Bohr magnetons per cell